<A>
Compound: YReP2
Source: Alexandria via LeMat-Bulk
Functional: meta-GGA SCAN
Structure: single point on PBEsol structure

a b c (Å): 4.069 4.069 5.183
angles (deg): 66.89 66.89 60.00
Fractional positions:
Y  0.500  0.500  0.500
Re  0.000  0.000  0.000
P  0.284  0.284  0.148
P  0.716  0.716  0.852

Space-group type ... R-3m, No. 166
Density of states at the Fermi level ... 0.423 states/eV/atom


<B>
Compound: YReP2
Source: Alexandria via LeMat-Bulk
Functional: meta-GGA SCAN
Structure: single point on PBEsol structure

a b c (Å): 3.161 3.419 6.695
angles (deg): 104.79 103.65 90.00
Fractional positions:
Y  0.201  0.701  0.403
Re  0.454  0.454  0.909
P  0.031  0.031  0.062
P  0.813  0.313  0.626

Space-group type ... Imm2, No. 44
Density of states at the Fermi level ... 0.217 states/eV/atom


<C>
Compound: YReP2
Source: Alexandria via LeMat-Bulk
Functional: meta-GGA SCAN
Structure: single point on PBEsol structure

a b c (Å): 3.358 3.940 5.875
angles (deg): 104.38 90.00 115.22
Fractional positions:
Y  0.500  0.000  0.000
Re  0.000  0.000  0.500
P  0.741  0.482  0.694
P  0.259  0.518  0.306

Space-group type ... C2/m, No. 12
Density of states at the Fermi level ... 0.209 states/eV/atom


On energetic grounds, <A> is preferred over the next structure by 48 meV/atom.


<A>
Compound: P3Rh
Source: Alexandria via LeMat-Bulk
Functional: meta-GGA SCAN
Structure: single point on PBEsol structure

a b c (Å): 3.258 3.646 5.677
angles (deg): 108.73 106.67 90.00
Fractional positions:
P  0.836  0.836  0.672
P  0.500  0.000  0.000
P  0.164  0.164  0.328
Rh  0.000  0.500  0.000

Space-group type ... Immm, No. 71
Density of states at the Fermi level ... 0.294 states/eV/atom


<B>
Compound: P3Rh
Source: Alexandria via LeMat-Bulk
Functional: meta-GGA SCAN
Structure: single point on PBEsol structure

a b c (Å): 6.905 6.905 6.905
angles (deg): 109.47 109.47 109.47
Fractional positions:
P  0.859  0.355  0.214
P  0.859  0.645  0.504
P  0.141  0.355  0.496
P  0.141  0.645  0.786
P  0.504  0.859  0.645
P  0.214  0.859  0.355
P  0.786  0.141  0.645
P  0.496  0.141  0.355
P  0.645  0.786  0.141
P  0.355  0.496  0.141
P  0.645  0.504  0.859
P  0.355  0.214  0.859
Rh  0.500  0.000  0.000
Rh  0.000  0.000  0.500
Rh  0.500  0.500  0.500
Rh  0.000  0.500  0.000

Space-group type ... Im-3, No. 204
Density of states at the Fermi level ... 0.038 states/eV/atom


On energetic grounds, <B> is preferred over the next structure by 794 meV/atom.


<A>
Compound: SrP2Rh
Source: Alexandria via LeMat-Bulk
Functional: meta-GGA SCAN
Structure: single point on PBEsol structure

a b c (Å): 4.022 4.022 5.749
angles (deg): 69.53 69.53 60.00
Fractional positions:
Sr  0.500  0.500  0.500
Rh  0.000  0.000  0.000
P  0.710  0.710  0.871
P  0.290  0.290  0.129

Space-group type ... R-3m, No. 166
Density of states at the Fermi level ... 0.307 states/eV/atom


<B>
Compound: SrP2Rh
Source: Alexandria via LeMat-Bulk
Functional: meta-GGA SCAN
Structure: single point on PBEsol structure

a b c (Å): 3.892 4.525 4.727
angles (deg): 90.08 90.00 90.00
Fractional positions:
Sr  0.500  0.500  0.000
Rh  0.500  0.000  0.500
P  0.000  0.001  0.229
P  0.000  0.999  0.771

Space-group type ... P2/m, No. 10
Density of states at the Fermi level ... 0.309 states/eV/atom


On energetic grounds, <B> is preferred over the next structure by 12 meV/atom.


<A>
Compound: ZnPRh2
Source: Alexandria via LeMat-Bulk
Functional: meta-GGA SCAN
Structure: single point on PBEsol structure

a b c (Å): 2.822 2.822 8.078
angles (deg): 79.94 79.94 60.00
Fractional positions:
P  0.255  0.255  0.234
Rh  0.992  0.992  0.025
Rh  0.752  0.752  0.745
Zn  0.501  0.501  0.497

Space-group type ... R3m, No. 160
Density of states at the Fermi level ... 0.640 states/eV/atom


<B>
Compound: ZnPRh2
Source: Alexandria via LeMat-Bulk
Functional: meta-GGA SCAN
Structure: single point on PBEsol structure

a b c (Å): 4.235 4.235 4.235
angles (deg): 60.00 60.00 60.00
Fractional positions:
P  0.500  0.500  0.500
Rh  0.000  0.000  0.000
Rh  0.750  0.750  0.750
Zn  0.250  0.250  0.250

Space-group type ... F-43m, No. 216
Density of states at the Fermi level ... 0.896 states/eV/atom


On energetic grounds, <A> is preferred over the next structure by 195 meV/atom.


<A>
Compound: SbPRu2
Source: Alexandria via LeMat-Bulk
Functional: meta-GGA SCAN
Structure: single point on PBEsol structure

a b c (Å): 4.374 4.374 4.374
angles (deg): 60.00 60.00 60.00
Site moments in Bohr magnetons follow the coordinates.
Fractional positions:
P  0.000  0.000  0.000  0.07
Ru  0.750  0.750  0.750  0.53
Ru  0.250  0.250  0.250  0.53
Sb  0.500  0.500  0.500  0.02

Space-group type ... Fm-3m, No. 225
Density of states at the Fermi level ... 0.992 states/eV/atom


<B>
Compound: SbPRu2
Source: Alexandria via LeMat-Bulk
Functional: meta-GGA SCAN
Structure: single point on PBEsol structure

a b c (Å): 3.274 3.274 5.874
angles (deg): 90.00 90.00 90.00
Site moments in Bohr magnetons follow the coordinates.
Fractional positions:
P  0.500  0.500  0.850  0.00
Ru  0.000  0.000  0.929  -0.33
Ru  0.500  0.500  0.250  0.58
Sb  0.000  0.000  0.471  0.00

Space-group type ... P4mm, No. 99
Density of states at the Fermi level ... 0.810 states/eV/atom


<C>
Compound: SbPRu2
Source: Alexandria via LeMat-Bulk
Functional: meta-GGA SCAN
Structure: single point on PBEsol structure

a b c (Å): 3.042 4.515 4.544
angles (deg): 90.00 90.00 90.00
Fractional positions:
P  0.500  0.816  0.500
Ru  0.500  0.994  0.000
Ru  0.000  0.195  0.500
Sb  0.000  0.495  0.000

Space-group type ... Pmm2, No. 25
Density of states at the Fermi level ... 0.548 states/eV/atom


On energetic grounds, <C> is preferred over the next structure by 58 meV/atom.


<A>
Compound: ScP2Ru
Source: Alexandria via LeMat-Bulk
Functional: meta-GGA SCAN
Structure: single point on PBEsol structure

a b c (Å): 3.296 3.296 5.409
angles (deg): 90.00 90.00 90.00
Site moments in Bohr magnetons follow the coordinates.
Fractional positions:
P  0.000  0.000  0.986  0.01
P  0.500  0.500  0.284  0.01
Ru  0.000  0.000  0.436  0.62
Sc  0.500  0.500  0.794  -0.02

Space-group type ... P4mm, No. 99
Density of states at the Fermi level ... 0.608 states/eV/atom


<B>
Compound: ScP2Ru
Source: Alexandria via LeMat-Bulk
Functional: meta-GGA SCAN
Structure: single point on PBEsol structure

a b c (Å): 3.063 4.516 4.589
angles (deg): 103.65 109.50 90.00
Fractional positions:
P  0.997  0.999  0.993
P  0.244  0.707  0.487
Ru  0.515  0.594  0.031
Sc  0.744  0.199  0.488

Space-group type ... Cm, No. 8
Density of states at the Fermi level ... 0.503 states/eV/atom


On energetic grounds, <B> is preferred over the next structure by 73 meV/atom.